First-principles (GGA-PBE) data for crystalline BaEu3Cl at its relaxed geometry, as listed in Alexandria.

Cell and atoms, written as POSCAR:
```
BaEu3Cl
1.0
5.936 0.000 0.000
0.000 5.936 0.000
0.000 0.000 5.936
Eu Ba Cl
3 1 1
Direct
0.000 0.500 0.000 Eu
0.000 0.000 0.500 Eu
0.500 0.000 0.000 Eu
0.500 0.500 0.500 Ba
0.000 0.000 0.000 Cl
```

Output
ΔE_f (raw): -0.57 eV per atom
VASP energy: -7.4844 eV/atom
magnetic moment: 4.7588 μB/atom